(1)
The following is a DFT calculation (PBE-GGA) of a relaxed structure of Rb2NpS2Br4.

Summary:
Crystal system: monoclinic
Total magnetic moment in μB/cell: 1.00
Formation energy without anion corrections in meV/atom: -1237
Uncorrected energy in eV per atom: -4.5509

The structure in extended XYZ format:
```
9
Lattice="6.393 -0.913 -0.621 0.319 7.527 0.476 0.319 3.207 6.826" Properties=species:S:1:pos:R:3 pbc="T T T"
Rb 2.179 6.802 4.627
Rb 4.851 3.019 2.054
Np 3.196 -0.456 -0.311
S 2.056 1.235 0.840
S 4.974 8.586 5.841
Br 1.818 5.164 1.240
Br 5.212 6.771 2.334
Br 5.212 4.657 5.441
Br 1.818 3.050 4.348
```

---

(2)
The following is a DFT calculation (PBE-GGA) of a relaxed structure of Ag2TeI.

Summary:
Crystal system: monoclinic
Total magnetic moment in μB/cell: 0.00
Formation energy without anion corrections in meV/atom: -47
Uncorrected energy in eV per atom: -2.6454
Polymorph energy (0 for the lowest one) in meV per atom: 82

The structure in extended XYZ format:
```
8
Lattice="7.567 0.000 0.028 0.000 4.172 0.000 -2.299 0.000 6.848" Properties=species:S:1:pos:R:3 pbc="T T T"
I -1.801 0.000 5.419
I -0.652 2.086 1.995
Te 3.128 0.000 2.022
Te 1.978 2.086 5.446
Ag 0.805 0.000 3.775
Ag 1.954 2.086 0.351
Ag 5.454 0.000 0.260
Ag 4.304 2.086 3.685
```

---

(3)
The following is a DFT calculation (PBE-GGA) of a relaxed structure of HoEr3Pd3.

Summary:
Crystal system: trigonal
Total magnetic moment in μB/cell: 0.00
Uncorrected energy in eV per atom: -5.5639
Polymorph energy (0 for the lowest one) in meV per atom: 0

The structure in extended XYZ format:
```
7
Lattice="5.652 0.006 -1.998 -2.825 4.883 -1.999 -0.004 0.006 5.995" Properties=species:S:1:pos:R:3 pbc="T T T"
Ho -1.421 2.456 -1.005
Er 2.814 0.021 -1.005
Er 1.403 2.467 0.993
Er -0.012 0.021 2.988
Pd 1.404 2.463 -2.006
Pd 2.813 0.024 1.991
Pd -1.425 2.463 1.991
```

---

(4)
The following is a DFT calculation (PBE-GGA) of a relaxed structure of Sc4SbSe.

Summary:
Crystal system: cubic
Total magnetic moment in μB/cell: 0.00
Formation energy without anion corrections in meV/atom: -116
Uncorrected energy in eV per atom: -5.6051
Polymorph energy (0 for the lowest one) in meV per atom: 676

The structure in extended XYZ format:
```
6
Lattice="-3.628 -3.535 2.852 -0.673 0.548 5.748 -4.983 2.075 2.158" Properties=species:S:1:pos:R:3 pbc="T T T"
Sc -5.299 -2.120 5.461
Sc -5.981 0.702 5.112
Sc -3.813 -0.066 6.918
Sc -3.474 -0.341 4.026
Sb 0.000 0.000 0.000
Se -6.963 -0.684 8.068
```

---

(5)
The following is a DFT calculation (PBE-GGA) of a relaxed structure of Zr2BrCl.

Summary:
Crystal system: tetragonal
Total magnetic moment in μB/cell: 0.00
Formation energy without anion corrections in meV/atom: -130
Uncorrected energy in eV per atom: -5.2835
Polymorph energy (0 for the lowest one) in meV per atom: 1004

The structure in extended XYZ format:
```
4
Lattice="-1.954 -2.557 5.533 -4.517 -4.388 1.146 5.075 1.512 -3.596" Properties=species:S:1:pos:R:3 pbc="T T T"
Br -3.236 -3.473 3.339
Zr 0.000 0.000 0.000
Zr -1.339 -3.174 0.444
Cl -0.057 -2.259 2.638
```

---

(6)
The following is a DFT calculation (PBE-GGA) of a relaxed structure of Cs4ErTh3S8.

Summary:
Crystal system: trigonal
Total magnetic moment in μB/cell: 0.00
Formation energy without anion corrections in meV/atom: -1684
Uncorrected energy in eV per atom: -5.6375

The structure in extended XYZ format:
```
16
Lattice="8.279 0.000 0.000 0.000 9.419 0.794 -4.140 -4.137 5.857" Properties=species:S:1:pos:R:3 pbc="T T T"
Cs 4.140 0.000 0.000
Cs 2.070 -2.068 2.928
Cs 0.000 0.000 0.000
Cs -2.070 -2.068 2.928
Er 0.000 4.709 0.397
Th 4.140 4.709 0.397
Th 2.070 2.641 3.325
Th -2.070 2.641 3.325
S -2.113 2.488 6.173
S 0.000 4.600 3.183
S 0.000 0.666 3.396
S 2.113 2.488 6.173
S 2.026 2.795 0.478
S 4.140 4.616 3.255
S 4.140 0.682 3.468
S 6.253 2.795 0.478
```

---

(7)
The following is a DFT calculation (PBE-GGA) of a relaxed structure of Zr3Tl2Cu2.

Summary:
Crystal system: orthorhombic
Total magnetic moment in μB/cell: 0.00
Uncorrected energy in eV per atom: -5.6157

The structure in extended XYZ format:
```
7
Lattice="-2.650 -3.338 -0.296 0.646 -0.780 3.012 -9.089 4.212 3.040" Properties=species:S:1:pos:R:3 pbc="T T T"
Zr -5.284 -1.343 0.786
Zr 0.000 0.000 0.000
Zr -6.455 2.217 1.959
Tl -8.804 1.178 3.870
Tl -2.289 -1.084 1.887
Cu -6.703 -0.414 3.007
Cu -4.391 0.508 2.750
```

---

(8)
The following is a DFT calculation (PBE-GGA) of a relaxed structure of Ag2Se.

Summary:
Crystal system: trigonal
Total magnetic moment in μB/cell: 0.00
Formation energy without anion corrections in meV/atom: 78
Uncorrected energy in eV per atom: -2.9847

The structure in extended XYZ format:
```
3
Lattice="-4.130 0.288 -1.225 3.071 -0.781 -2.932 -0.438 -3.857 0.569" Properties=species:S:1:pos:R:3 pbc="T T T"
Ag -2.036 -2.773 -1.395
Ag 0.540 -1.577 -2.193
Se 0.000 0.000 0.000
```

---

(9)
The following is a DFT calculation (PBE-GGA) of a relaxed structure of BePb2W.

Summary:
Crystal system: orthorhombic
Total magnetic moment in μB/cell: 0.00
Uncorrected energy in eV per atom: -4.8357

The structure in extended XYZ format:
```
4
Lattice="-0.874 2.612 -1.766 1.779 -2.459 -4.518 -4.226 -1.856 -0.653" Properties=species:S:1:pos:R:3 pbc="T T T"
Pb 0.000 0.000 0.000
Pb 0.452 0.076 -3.142
Be -1.224 -2.158 -2.586
W -2.550 0.378 -1.210
```

---

(10)
The following is a DFT calculation (PBE-GGA) of a relaxed structure of Cs3PrTl2I9.

Summary:
Crystal system: trigonal
Total magnetic moment in μB/cell: 0.00
Formation energy without anion corrections in meV/atom: -1145
Uncorrected energy in eV per atom: -2.8802

The structure in extended XYZ format:
```
15
Lattice="9.096 0.000 0.000 -4.548 7.878 0.000 0.000 0.000 11.160" Properties=species:S:1:pos:R:3 pbc="T T T"
Cs 0.000 5.252 7.495
Cs 0.000 0.000 0.000
Cs 4.548 2.626 3.665
Pr 0.000 0.000 5.580
Tl 0.000 5.252 1.704
Tl 4.548 2.626 9.456
I 6.861 1.291 7.356
I 4.548 5.296 7.356
I 2.235 1.291 7.356
I 2.313 6.587 3.804
I 0.000 2.581 3.804
I -2.313 6.587 3.804
I 4.548 0.000 0.000
I -2.274 3.939 0.000
I 2.274 3.939 0.000
```

---

(11)
The following is a DFT calculation (PBE-GGA) of a relaxed structure of Nd2ThPd2.

Summary:
Crystal system: orthorhombic
Total magnetic moment in μB/cell: 0.00
Uncorrected energy in eV per atom: -5.7903

The structure in extended XYZ format:
```
10
Lattice="-1.366 3.200 5.205 2.798 -4.402 3.440 4.970 5.817 -2.272" Properties=species:S:1:pos:R:3 pbc="T T T"
Nd 4.312 5.431 3.442
Nd 3.994 2.255 5.310
Nd 2.089 -0.815 2.932
Nd 2.407 2.361 1.063
Th 0.000 0.000 0.000
Th -0.683 1.600 2.603
Pd 1.225 2.055 4.706
Pd 3.894 4.578 0.090
Pd 5.177 2.561 1.667
Pd 2.507 0.037 6.283
```

---

- total magnetic moment of number 8 (Ag2Se)?
  0.00 μB/cell

---

- Among the records above, which one has the lowest uncorrected energy?
  Nd2ThPd2

---

- Which of these has the highest uncorrected energy?
  Ag2TeI